(1)
First-principles (PBE-GGA) data for an optimized crystal structure of SbPdPtPb, as listed in Alexandria.

Output
Formation energy from raw total energies ... -0.13 eV per atom
Space group ... No. 216

a = 4.876 Å, b = 4.876 Å, c = 4.876 Å
α = 60.00°, β = 60.00°, γ = 60.00°
Fractional coordinates of all 4 atoms:
1 Pb 0.000 0.000 0.000
2 Sb 0.500 0.500 0.500
3 Pd 0.750 0.750 0.750
4 Pt 0.250 0.250 0.250

=====

(2)
First-principles (PBE-GGA) data for an optimized crystal structure of Sr2ZnRh, as listed in Alexandria.

Output
Formation energy from the elements ... -216 meV/atom
Space group ... No. 44

a = 7.257 Å, b = 7.257 Å, c = 4.464 Å
α = 72.10°, β = 72.10°, γ = 34.25°
Fractional coordinates of all 4 atoms:
1 Zn 0.429 0.429 0.571
2 Rh 0.831 0.831 0.669
3 Sr 0.994 0.994 0.006
4 Sr 0.245 0.245 0.254

=====

(3)
First-principles (PBE-GGA) data for an optimized crystal structure of Ba2Hg3Pd4, as listed in Alexandria.

Output
Formation energy from the elements ... -442 meV/atom
Space group ... No. 64

a = 6.192 Å, b = 7.884 Å, c = 9.308 Å
α = 90.00°, β = 109.43°, γ = 90.00°
Fractional coordinates of all 18 atoms:
1 Pd 0.323 0.250 0.146
2 Ba 0.895 0.415 0.789
3 Hg 0.500 0.500 0.000
4 Pd 0.336 0.494 0.672
5 Pd 0.177 0.750 0.854
6 Hg 0.000 0.000 0.000
7 Ba 0.105 0.585 0.211
8 Pd 0.164 0.994 0.328
9 Pd 0.664 0.506 0.328
10 Ba 0.395 0.085 0.789
11 Pd 0.823 0.250 0.146
12 Hg 0.013 0.750 0.526
13 Hg 0.513 0.750 0.526
14 Pd 0.677 0.750 0.854
15 Hg 0.987 0.250 0.474
16 Hg 0.487 0.250 0.474
17 Ba 0.605 0.915 0.211
18 Pd 0.836 0.006 0.672

=====

(4)
First-principles (PBE-GGA) data for an optimized crystal structure of Ac2La3Rh2, as listed in Alexandria.

Output
Formation energy from the elements ... -484 meV/atom
Space group ... No. 12

a = 4.033 Å, b = 6.707 Å, c = 9.515 Å
α = 112.75°, β = 90.00°, γ = 107.50°
Fractional coordinates of all 7 atoms:
1 Ac 0.170 0.340 0.804
2 La 0.616 0.232 0.421
3 Ac 0.830 0.660 0.196
4 La 0.500 0.000 0.000
5 La 0.384 0.768 0.579
6 Rh 0.165 0.329 0.243
7 Rh 0.835 0.671 0.757

=====

(5)
First-principles (PBE-GGA) data for an optimized crystal structure of HgTeAs2, as listed in Alexandria.

Output
Formation energy from raw total energies ... 0.48 eV per atom
Distance to the lowest polymorph of the same formula ... 0.387 eV per atom
Space group ... No. 123

a = 2.906 Å, b = 2.906 Å, c = 11.958 Å
α = 90.00°, β = 90.00°, γ = 90.00°
Fractional coordinates of all 4 atoms:
1 Hg 0.500 0.500 0.250
2 Te 0.500 0.500 0.750
3 As 0.000 0.000 0.471
4 As 0.000 0.000 0.029

=====

(6)
First-principles (PBE-GGA) data for an optimized crystal structure of ScSiTe2I, as listed in Alexandria.

Output
Formation energy from raw total energies ... 0.12 eV per atom
Distance to the lowest polymorph of the same formula ... 0.000 eV per atom
Space group ... No. 123

a = 5.613 Å, b = 5.613 Å, c = 5.517 Å
α = 90.00°, β = 90.00°, γ = 90.00°
Site moments in Bohr magnetons follow the coordinates.
Fractional coordinates of all 5 atoms:
1 Te 0.500 0.000 0.000  -0.06
2 Te 0.000 0.500 0.000  -0.06
3 I 0.000 0.000 0.500  0.00
4 Sc 0.000 0.000 0.000  0.00
5 Si 0.500 0.500 0.500  0.18

=====

(7)
First-principles (PBE-GGA) data for an optimized crystal structure of Ca2Cu2Au, as listed in Alexandria.

Output
Distance to the lowest polymorph of the same formula ... 0.038 eV per atom
Formation energy from the elements ... -318 meV/atom
Space group ... No. 127

a = 7.243 Å, b = 7.243 Å, c = 4.064 Å
α = 90.00°, β = 90.00°, γ = 90.00°
Fractional coordinates of all 10 atoms:
1 Cu 0.380 0.880 0.000
2 Au 0.000 0.000 0.000
3 Ca 0.180 0.680 0.500
4 Cu 0.620 0.120 0.000
5 Cu 0.880 0.620 0.000
6 Ca 0.680 0.820 0.500
7 Ca 0.820 0.320 0.500
8 Cu 0.120 0.380 0.000
9 Ca 0.320 0.180 0.500
10 Au 0.500 0.500 0.000

=====

(8)
First-principles (PBE-GGA) data for an optimized crystal structure of AcDy2Ge2, as listed in Alexandria.

Output
Formation energy from the elements ... -570 meV/atom
Space group ... No. 12

a = 3.924 Å, b = 5.781 Å, c = 6.634 Å
α = 101.39°, β = 107.20°, γ = 90.00°
Fractional coordinates of all 5 atoms:
1 Dy 0.642 0.568 0.284
2 Dy 0.358 0.432 0.716
3 Ge 0.284 0.884 0.568
4 Ge 0.716 0.116 0.432
5 Ac 0.000 0.000 0.000

=====

(9)
First-principles (PBE-GGA) data for an optimized crystal structure of Ce3Si6Ni2Ir, as listed in Alexandria.

Output
Formation energy from raw total energies ... -0.42 eV per atom
Space group ... No. 164

a = 5.860 Å, b = 5.860 Å, c = 7.447 Å
α = 90.00°, β = 90.00°, γ = 120.00°
Site moments in Bohr magnetons follow the coordinates.
Fractional coordinates of all 12 atoms:
1 Ni 0.667 0.333 0.947  0.03
2 Ce 0.333 0.667 0.666  0.20
3 Ni 0.333 0.667 0.053  0.03
4 Si 0.195 0.389 0.303  0.01
5 Si 0.611 0.805 0.303  0.01
6 Si 0.805 0.611 0.697  0.01
7 Si 0.389 0.195 0.697  0.01
8 Ce 0.667 0.333 0.334  0.20
9 Si 0.805 0.195 0.697  0.01
10 Ir 0.000 0.000 0.500  0.02
11 Si 0.195 0.805 0.303  0.01
12 Ce 0.000 0.000 0.000  0.45

=====

(10)
First-principles (PBE-GGA) data for an optimized crystal structure of Fe3Ni12Rh, as listed in Alexandria.

Output
Formation energy from the elements ... -52 meV/atom
Space group ... No. 123

a = 3.561 Å, b = 3.561 Å, c = 14.302 Å
α = 90.00°, β = 90.00°, γ = 90.00°
Site moments in Bohr magnetons follow the coordinates.
Fractional coordinates of all 16 atoms:
1 Rh 0.000 0.000 0.000  0.71
2 Ni 0.500 0.500 0.253  0.73
3 Ni 0.500 0.000 0.870  0.75
4 Ni 0.500 0.500 0.500  0.69
5 Ni 0.000 0.500 0.870  0.75
6 Ni 0.500 0.500 0.747  0.73
7 Ni 0.500 0.500 0.000  0.71
8 Ni 0.500 0.000 0.623  0.72
9 Fe 0.000 0.000 0.500  2.96
10 Fe 0.000 0.000 0.253  2.93
11 Ni 0.500 0.000 0.130  0.75
12 Fe 0.000 0.000 0.747  2.93
13 Ni 0.000 0.500 0.623  0.72
14 Ni 0.000 0.500 0.130  0.75
15 Ni 0.000 0.500 0.377  0.72
16 Ni 0.500 0.000 0.377  0.72

=====

(11)
First-principles (PBE-GGA) data for an optimized crystal structure of K2FePt, as listed in Alexandria.

Output
Distance to the lowest polymorph of the same formula ... 0.592 eV per atom
Formation energy from the elements ... 801 meV/atom
Space group ... No. 166

a = 11.358 Å, b = 11.358 Å, c = 11.358 Å
α = 15.13°, β = 15.13°, γ = 15.13°
Site moments in Bohr magnetons follow the coordinates.
Fractional coordinates of all 4 atoms:
1 K 0.996 0.996 0.996  -0.04
2 Fe 0.750 0.750 0.750  2.70
3 K 0.504 0.504 0.504  -0.04
4 Pt 0.250 0.250 0.250  -0.01

=====

(12)
First-principles (PBE-GGA) data for an optimized crystal structure of Ac5Te4Br, as listed in Alexandria.

Output
Formation energy from raw total energies ... -1.40 eV per atom
Space group ... No. 87

a = 6.642 Å, b = 8.126 Å, c = 8.126 Å
α = 80.39°, β = 65.88°, γ = 65.88°
Fractional coordinates of all 10 atoms:
1 Te 0.802 0.799 0.600
2 Te 0.600 0.600 0.201
3 Ac 0.501 0.000 0.000
4 Te 0.402 0.400 0.799
5 Te 0.201 0.201 0.400
6 Ac 0.102 0.599 0.200
7 Ac 0.302 0.800 0.599
8 Ac 0.700 0.200 0.401
9 Ac 0.900 0.401 0.800
10 Br 0.001 0.000 0.000

=====

(13)
First-principles (PBE-GGA) data for an optimized crystal structure of Cd3Cu5H12, as listed in Alexandria.

Output
Raw total energy ... -56.6 eV/f.u.
Space group ... No. 230

a = 9.900 Å, b = 9.900 Å, c = 9.900 Å
α = 109.47°, β = 109.47°, γ = 109.47°
Fractional coordinates of all 80 atoms:
1 H 0.805 0.321 0.921
2 Cd 0.125 0.875 0.750
3 Cd 0.375 0.750 0.625
4 H 0.884 0.305 0.484
5 Cu 0.500 0.000 0.500
6 Cd 0.625 0.250 0.375
7 Cd 0.125 0.250 0.875
8 Cu 0.750 0.625 0.375
9 Cu 0.375 0.125 0.750
10 Cu 0.875 0.250 0.625
11 H 0.484 0.679 0.101
12 Cd 0.375 0.625 0.250
13 H 0.421 0.305 0.321
14 Cd 0.250 0.125 0.375
15 Cu 0.125 0.375 0.250
16 Cd 0.750 0.875 0.625
17 H 0.384 0.399 0.079
18 H 0.679 0.484 0.601
19 Cd 0.750 0.375 0.125
20 H 0.321 0.805 0.421
21 H 0.899 0.079 0.884
22 Cd 0.875 0.750 0.125
23 H 0.616 0.601 0.921
24 Cu 0.500 0.500 0.000
25 H 0.421 0.116 0.601
26 Cu 0.750 0.125 0.875
27 Cd 0.250 0.625 0.875
28 H 0.101 0.921 0.116
29 H 0.079 0.179 0.195
30 Cu 0.000 0.500 0.000
31 H 0.305 0.421 0.821
32 Cu 0.000 0.000 0.500
33 Cu 0.250 0.375 0.625
34 H 0.016 0.616 0.695
35 H 0.579 0.695 0.679
36 Cd 0.875 0.125 0.250
37 H 0.305 0.884 0.984
38 H 0.195 0.679 0.079
39 Cu 0.500 0.500 0.500
40 H 0.921 0.101 0.616
41 H 0.601 0.616 0.421
42 H 0.899 0.821 0.516
43 H 0.399 0.016 0.321
44 H 0.179 0.079 0.695
45 H 0.399 0.384 0.579
46 H 0.695 0.579 0.179
47 H 0.821 0.899 0.016
48 H 0.821 0.921 0.305
49 Cd 0.625 0.375 0.750
50 H 0.984 0.601 0.179
51 Cu 0.000 0.500 0.500
52 Cu 0.125 0.750 0.375
53 H 0.984 0.384 0.305
54 Cu 0.375 0.250 0.125
55 Cu 0.250 0.875 0.125
56 H 0.679 0.195 0.579
57 H 0.516 0.321 0.899
58 H 0.321 0.516 0.399
59 H 0.921 0.821 0.805
60 H 0.195 0.516 0.616
61 H 0.079 0.899 0.384
62 H 0.601 0.984 0.679
63 Cu 0.500 0.000 0.000
64 H 0.695 0.116 0.016
65 H 0.116 0.695 0.516
66 H 0.179 0.101 0.984
67 H 0.579 0.884 0.399
68 H 0.516 0.195 0.116
69 Cu 0.875 0.625 0.750
70 Cu 0.000 0.000 0.000
71 H 0.384 0.984 0.805
72 H 0.101 0.179 0.484
73 H 0.116 0.421 0.101
74 H 0.016 0.399 0.821
75 H 0.884 0.579 0.899
76 H 0.616 0.016 0.195
77 Cu 0.625 0.750 0.875
78 H 0.484 0.805 0.884
79 Cu 0.625 0.875 0.250
80 H 0.805 0.484 0.384

=====

(14)
First-principles (PBE-GGA) data for an optimized crystal structure of Mg4Cd5, as listed in Alexandria.

Output
Distance to the lowest polymorph of the same formula ... 0.005 eV per atom
Formation energy from the elements ... -68 meV/atom
Space group ... No. 139

a = 4.283 Å, b = 7.114 Å, c = 7.114 Å
α = 84.80°, β = 72.48°, γ = 72.48°
Fractional coordinates of all 9 atoms:
1 Mg 0.666 0.000 0.668
2 Cd 0.000 0.000 0.000
3 Cd 0.000 0.669 0.331
4 Cd 0.000 0.331 0.669
5 Mg 0.334 0.332 0.000
6 Mg 0.666 0.668 0.000
7 Cd 0.669 0.331 0.331
8 Mg 0.334 0.000 0.332
9 Cd 0.331 0.669 0.669

=====

(15)
First-principles (PBE-GGA) data for an optimized crystal structure of LaPm7Ho2, as listed in Alexandria.

Output
Distance to the lowest polymorph of the same formula ... 0.452 eV per atom
Formation energy from the elements ... 641 meV/atom
Space group ... No. 65

a = 5.770 Å, b = 9.235 Å, c = 9.235 Å
α = 122.16°, β = 90.00°, γ = 90.00°
Fractional coordinates of all 10 atoms:
1 Ho 0.500 0.704 0.296
2 La 0.000 0.000 0.000
3 Pm 0.500 0.500 0.500
4 Pm 0.500 0.296 0.062
5 Pm 0.500 0.062 0.296
6 Ho 0.500 0.296 0.704
7 Pm 0.500 0.938 0.704
8 Pm 0.500 0.704 0.938
9 Pm 0.000 0.772 0.228
10 Pm 0.000 0.228 0.772

=====

(16)
First-principles (PBE-GGA) data for an optimized crystal structure of SrCaPb4, as listed in Alexandria.

Output
Formation energy from the elements ... -291 meV/atom
Space group ... No. 216

a = 6.610 Å, b = 6.610 Å, c = 6.610 Å
α = 60.00°, β = 60.00°, γ = 60.00°
Fractional coordinates of all 6 atoms:
1 Pb 0.376 0.872 0.376
2 Pb 0.872 0.376 0.376
3 Pb 0.376 0.376 0.872
4 Pb 0.376 0.376 0.376
5 Sr 0.750 0.750 0.750
6 Ca 0.000 0.000 0.000

=====

(17)
First-principles (PBE-GGA) data for an optimized crystal structure of PmGdInCu, as listed in Alexandria.

Output
Formation energy from the elements ... -295 meV/atom
Space group ... No. 216

a = 5.248 Å, b = 5.248 Å, c = 5.248 Å
α = 60.00°, β = 60.00°, γ = 60.00°
Site moments in Bohr magnetons follow the coordinates.
Fractional coordinates of all 4 atoms:
1 Gd 0.500 0.500 0.500  7.19
2 In 0.750 0.750 0.750  0.01
3 Pm 0.000 0.000 0.000  0.13
4 Cu 0.250 0.250 0.250  0.03

=====

(18)
First-principles (PBE-GGA) data for an optimized crystal structure of SmScIrAu, as listed in Alexandria.

Output
Formation energy from the elements ... -724 meV/atom
Space group ... No. 216

a = 4.899 Å, b = 4.899 Å, c = 4.899 Å
α = 60.00°, β = 60.00°, γ = 60.00°
Fractional coordinates of all 4 atoms:
1 Sc 0.000 0.000 0.000
2 Sm 0.500 0.500 0.500
3 Au 0.250 0.250 0.250
4 Ir 0.750 0.750 0.750

=====

(19)
First-principles (PBE-GGA) data for an optimized crystal structure of EuInAgPt, as listed in Alexandria.

Output
Formation energy from the elements ... -464 meV/atom
Space group ... No. 216

a = 4.980 Å, b = 4.980 Å, c = 4.980 Å
α = 60.00°, β = 60.00°, γ = 60.00°
Site moments in Bohr magnetons follow the coordinates.
Fractional coordinates of all 4 atoms:
1 Eu 0.000 0.000 0.000  6.73
2 Pt 0.750 0.750 0.750  -0.02
3 Ag 0.250 0.250 0.250  0.01
4 In 0.500 0.500 0.500  0.01

=====

(20)
First-principles (PBE-GGA) data for an optimized crystal structure of Tl2H6Br, as listed in Alexandria.

Output
Raw total energy ... -27.4 eV/f.u.
Space group ... No. 1

a = 4.544 Å, b = 25.878 Å, c = 7.066 Å
α = 167.79°, β = 89.76°, γ = 95.14°
Fractional coordinates of all 9 atoms:
1 H 0.665 0.551 0.743
2 Br 0.888 0.000 0.000
3 H 0.609 0.433 0.390
4 H 0.173 0.567 0.610
5 H 0.115 0.450 0.258
6 Tl 0.259 0.743 0.786
7 Tl 0.516 0.256 0.212
8 H 0.802 0.000 0.501
9 H 0.974 0.000 0.500

=====

(21)
First-principles (PBE-GGA) data for an optimized crystal structure of LiZrPb3, as listed in Alexandria.

Output
Distance to the lowest polymorph of the same formula ... 0.000 eV per atom
Formation energy from the elements ... 242 meV/atom
Space group ... No. 221

a = 5.691 Å, b = 5.691 Å, c = 5.691 Å
α = 90.00°, β = 90.00°, γ = 90.00°
Fractional coordinates of all 5 atoms:
1 Pb 0.000 0.500 0.000
2 Li 0.500 0.500 0.500
3 Pb 0.500 0.000 0.000
4 Pb 0.000 0.000 0.500
5 Zr 0.000 0.000 0.000

=====

(22)
First-principles (PBE-GGA) data for an optimized crystal structure of Be3Te2, as listed in Alexandria.

Output
Formation energy from raw total energies ... 0.40 eV per atom
Distance to the lowest polymorph of the same formula ... 0.222 eV per atom
Space group ... No. 164

a = 3.847 Å, b = 3.847 Å, c = 7.009 Å
α = 90.00°, β = 90.00°, γ = 120.00°
Fractional coordinates of all 5 atoms:
1 Te 0.667 0.333 0.219
2 Be 0.333 0.667 0.437
3 Be 0.000 0.000 0.000
4 Be 0.667 0.333 0.563
5 Te 0.333 0.667 0.781